Record 1
Computed, not measured: Cu3PtSe after structural relaxation at the GGA-PBEsol level of DFT.

a = 4.358 Å, b = 4.358 Å, c = 4.358 Å
α = 90.00°, β = 90.00°, γ = 90.00°
Atoms (fractional coordinates):
Cu: 0.000 0.000 0.500
Cu: 0.500 0.000 0.000
Cu: 0.000 0.500 0.000
Pt: 0.500 0.500 0.500
Se: 0.000 0.000 0.000

Magnetization ... 0.000 μB per atom
Formation energy without anion corrections ... 0.691 eV/atom
E above lowest polymorph ... 0.000 eV per atom

Record 2
Computed, not measured: CuSiPt2 after structural relaxation at the GGA-PBEsol level of DFT.

a = 2.790 Å, b = 3.541 Å, c = 5.486 Å
α = 90.00°, β = 95.59°, γ = 90.00°
Atoms (fractional coordinates):
Cu: 0.500 0.500 0.500
Pt: 0.058 0.000 0.757
Pt: 0.942 0.000 0.243
Si: 0.500 0.500 0.000

Magnetization ... 0.000 μB per atom
Formation energy without anion corrections ... -0.387 eV/atom

Record 3
Computed, not measured: CuSi3Pt after structural relaxation at the GGA-PBEsol level of DFT.

a = 4.362 Å, b = 4.362 Å, c = 4.362 Å
α = 90.00°, β = 90.00°, γ = 90.00°
Atoms (fractional coordinates):
Si: 0.500 0.000 0.000
Si: 0.000 0.000 0.500
Si: 0.000 0.500 0.000
Cu: 0.000 0.000 0.000
Pt: 0.500 0.500 0.500

Magnetization ... 0.000 μB per atom
Formation energy without anion corrections ... 0.701 eV/atom

Record 4
Computed, not measured: CuSiPt3 after structural relaxation at the GGA-PBEsol level of DFT.

a = 4.430 Å, b = 4.430 Å, c = 4.430 Å
α = 90.00°, β = 90.00°, γ = 90.00°
Atoms (fractional coordinates):
Pt: 0.500 0.000 0.000
Pt: 0.000 0.500 0.000
Pt: 0.000 0.000 0.500
Si: 0.000 0.000 0.000
Cu: 0.500 0.500 0.500

Magnetization ... 0.000 μB per atom
Formation energy without anion corrections ... 0.433 eV/atom

Record 5
Computed, not measured: Cu2SnPt2 after structural relaxation at the GGA-PBEsol level of DFT.

a = 3.411 Å, b = 3.411 Å, c = 7.129 Å
α = 103.84°, β = 103.84°, γ = 90.00°
Atoms (fractional coordinates):
Sn: 0.000 0.000 0.000
Pt: 0.605 0.605 0.209
Pt: 0.395 0.395 0.791
Cu: 0.750 0.250 0.500
Cu: 0.250 0.750 0.500

Magnetization ... 0.000 μB per atom

Record 6
Computed, not measured: CuSn2PtW after structural relaxation at the GGA-PBEsol level of DFT.

a = 4.648 Å, b = 4.979 Å, c = 4.979 Å
α = 90.00°, β = 90.00°, γ = 90.00°
Atoms (fractional coordinates):
Pt: 0.000 0.000 0.000
Sn: 0.000 0.000 0.500
Sn: 0.000 0.500 0.000
Cu: 0.500 0.000 0.000
W: 0.500 0.500 0.500

Magnetization ... 0.662 μB per atom

Table of raw total energy (eV per atom), in record order: -4.07, -6.39, -5.01, -5.76, -5.43, -5.45